[1]
Compound: ZnIn2Te
Source: Alexandria via LeMat-Bulk
Functional: GGA-PBE
Structure: relaxed

```
4
Lattice="-1.992 2.301 5.888 1.992 -2.301 5.888 1.992 2.301 -5.888" Properties=species:S:1:pos:R:3 pbc="T T T"
Zn 0.000 0.000 0.000
In 1.992 0.000 2.478
In 0.000 0.000 6.053
Te 0.000 2.301 3.704
```

Results
- formation energy without anion corrections (meV/atom) = -13.0
- DOS(E_F) (states/eV per atom) = 0.33
- energy relative to the lowest polymorph listed for this composition (meV/atom) = 49
- density (Mg/m³) = 6.50
- size of the total moment (μB/f.u.) = 0.00
- SG = Imm2 (44)


[2]
Compound: Zn2In2Te
Source: Alexandria via LeMat-Bulk
Functional: GGA-PBE
Structure: relaxed

```
10
Lattice="7.462 0.000 0.000 0.000 7.462 0.000 0.000 0.000 4.427" Properties=species:S:1:pos:R:3 pbc="T T T"
Zn 0.902 2.829 0.000
Zn 2.829 6.560 0.000
Zn 4.633 0.902 0.000
Zn 6.560 4.633 0.000
In 1.322 5.053 2.213
In 2.409 1.322 2.213
In 5.053 6.140 2.213
In 6.140 2.409 2.213
Te 0.000 0.000 0.000
Te 3.731 3.731 0.000
```

Results
- formation energy without anion corrections (meV/atom) = 33.9
- DOS(E_F) (states/eV per atom) = 0.54
- energy relative to the lowest polymorph listed for this composition (meV/atom) = 0
- density (Mg/m³) = 6.58
- size of the total moment (μB/f.u.) = 0.00
- SG = P4/mbm (127)


[3]
Compound: Zn2InTe
Source: Alexandria via LeMat-Bulk
Functional: GGA-PBE
Structure: relaxed

```
4
Lattice="0.000 3.620 3.620 3.620 0.000 3.620 3.620 3.620 0.000" Properties=species:S:1:pos:R:3 pbc="T T T"
Zn 1.810 1.810 1.810
Zn 5.430 5.430 5.430
In 0.000 0.000 0.000
Te 3.620 3.620 3.620
```

Results
- formation energy without anion corrections (meV/atom) = 151.0
- DOS(E_F) (states/eV per atom) = 0.59
- energy relative to the lowest polymorph listed for this composition (meV/atom) = 156
- density (Mg/m³) = 6.53
- size of the total moment (μB/f.u.) = 0.00
- SG = Fm-3m (225)


[4]
Compound: Zn2InTe
Source: Alexandria via LeMat-Bulk
Functional: GGA-PBE
Structure: relaxed

```
4
Lattice="3.944 0.000 0.000 0.000 3.944 0.000 0.000 0.000 6.516" Properties=species:S:1:pos:R:3 pbc="T T T"
Zn 0.000 0.000 0.000
Zn 1.972 1.972 2.945
In 0.000 0.000 3.699
Te 1.972 1.972 0.223
```

Results
- formation energy without anion corrections (meV/atom) = 46.3
- DOS(E_F) (states/eV per atom) = 0.30
- energy relative to the lowest polymorph listed for this composition (meV/atom) = 51
- density (Mg/m³) = 6.11
- size of the total moment (μB/f.u.) = 0.00
- SG = P4mm (99)


[5]
Compound: ZnIn2Te
Source: Alexandria via LeMat-Bulk
Functional: GGA-PBE
Structure: relaxed

```
8
Lattice="-3.422 3.422 5.994 3.422 -3.422 5.994 3.422 3.422 -5.994" Properties=species:S:1:pos:R:3 pbc="T T T"
Zn 0.000 0.000 0.000
Zn 0.000 3.422 2.997
In 5.133 1.478 -1.498
In 1.478 1.711 1.498
In -1.711 1.945 4.495
In 1.945 1.711 7.492
Te 3.422 0.000 2.997
Te 0.000 0.000 5.994
```

Results
- formation energy without anion corrections (meV/atom) = 25.5
- DOS(E_F) (states/eV per atom) = 0.16
- energy relative to the lowest polymorph listed for this composition (meV/atom) = 88
- density (Mg/m³) = 5.00
- size of the total moment (μB/f.u.) = 0.00
- SG = I-42d (122)


[6]
Compound: Zn2InTe
Source: Alexandria via LeMat-Bulk
Functional: GGA-PBE
Structure: relaxed

```
4
Lattice="-1.946 3.105 4.152 1.946 -3.105 4.152 1.946 3.105 -4.152" Properties=species:S:1:pos:R:3 pbc="T T T"
Zn 0.000 0.000 2.036
Zn 0.000 0.000 6.267
In 0.000 3.105 0.000
Te 1.946 0.000 0.000
```

Results
- formation energy without anion corrections (meV/atom) = 81.1
- DOS(E_F) (states/eV per atom) = 0.30
- energy relative to the lowest polymorph listed for this composition (meV/atom) = 86
- density (Mg/m³) = 6.18
- size of the total moment (μB/f.u.) = 0.00
- SG = Immm (71)